Record 1
The following is a PBE calculation of a relaxed structure of GaAgNF2, from Alexandria via LeMat-Bulk.

Geometry as POSCAR:
```
GaAgNF2
1.0
-2.322 -0.987 -3.149
2.702 -2.780 -1.120
-1.821 -2.645 2.172
N Ga Ag F
1 1 1 2
direct
0.000 0.000 0.500
0.000 0.000 0.000
0.500 0.500 0.500
0.000 0.500 0.000
0.500 0.000 0.000
```

Properties
Space group = P4/mmm
Total magnetic moment = 1.003 μB/f.u.
Polymorph energy (0 for the lowest one) = 0 kJ/mol of formula units
Formation energy (no corrections) = -704 meV/atom
E = -4.2933 eV/atom


Record 2
The following is a PBE calculation of a relaxed structure of GaAgN2F, from Alexandria via LeMat-Bulk.

Geometry as POSCAR:
```
GaAgN2F
1.0
-0.946 -3.421 1.758
0.050 -1.821 -3.517
3.909 -0.831 0.487
N Ga Ag F
2 1 1 1
direct
0.000 0.500 0.000
0.500 0.000 0.000
0.000 0.000 0.000
0.500 0.500 0.500
0.000 0.000 0.500
```

Properties
Space group = P4/mmm
Total magnetic moment = 2.441 μB/f.u.
Polymorph energy (0 for the lowest one) = 0 kJ/mol of formula units
Formation energy (no corrections) = 535 meV/atom
E = -4.3454 eV/atom


Record 3
The following is a PBE calculation of a relaxed structure of GaAgN2F, from Alexandria via LeMat-Bulk.

Geometry as POSCAR:
```
GaAgN2F
1.0
4.060 0.000 0.000
0.000 4.060 0.000
0.000 0.000 4.968
N Ga Ag F
2 1 1 1
direct
0.000 0.500 0.000
0.500 0.000 0.000
0.500 0.500 0.500
0.000 0.000 0.000
0.000 0.000 0.500
```

Properties
Space group = P4/mmm
Total magnetic moment = 3.273 μB/f.u.
Polymorph energy (0 for the lowest one) = 281 kJ/mol of formula units
Formation energy (no corrections) = 1117 meV/atom
E = -3.7635 eV/atom